No. 1
Below is a relaxed structure of MnCu2Pd9, with properties calculated at the PBE level.

Lattice parameters (Å, degrees): 3.9038 3.9038 11.6890 90.00 90.00 90.00
With the nearest neighbours (Å) after each atom.
Positions (direct):
Mn1 0.0000 0.0000 0.0000  12 Pd 2.76-2.77
Cu1 0.0000 0.0000 0.3354  12 Pd 2.74-2.76
Cu2 0.0000 0.0000 0.6646  12 Pd 2.74-2.76
Pd1 0.0000 0.5000 0.1685  8 Pd 2.75-2.77, 2 Cu 2.76, 2 Mn 2.77
Pd2 0.0000 0.5000 0.5000  4 Cu 2.74, 8 Pd 2.75-2.76
Pd3 0.0000 0.5000 0.8315  8 Pd 2.75-2.77, 2 Cu 2.76, 2 Mn 2.77
Pd4 0.5000 0.0000 0.1685  8 Pd 2.75-2.77, 2 Cu 2.76, 2 Mn 2.77
Pd5 0.5000 0.0000 0.5000  4 Cu 2.74, 8 Pd 2.75-2.76
Pd6 0.5000 0.0000 0.8315  8 Pd 2.75-2.77, 2 Cu 2.76, 2 Mn 2.77
Pd7 0.5000 0.5000 0.0000  4 Mn 2.76, 8 Pd 2.77
Pd8 0.5000 0.5000 0.3342  8 Pd 2.75, 4 Cu 2.76
Pd9 0.5000 0.5000 0.6658  8 Pd 2.75, 4 Cu 2.76

Computed properties:
Uncorrected energy, eV/atom: -5.457
DFT formation energy, eV/atom: -0.1153
Density of states at the Fermi level, states/eV per cell: 13.4

No. 2
Below is a relaxed structure of Dy6CoCu5, with properties calculated at the PBE level.

Lattice parameters (Å, degrees): 8.4206 8.4206 8.4206 146.39 131.53 60.28
With the nearest neighbours (Å) after each atom.
Positions (direct):
Dy1 0.0828 0.3373 0.7455  1 Co 2.91, 7 Cu 2.95-3.02
Dy2 0.2422 0.0000 0.2422  2 Co 2.95, 6 Cu 2.98-3.02
Dy3 0.4082 0.6627 0.7455  1 Co 2.91, 7 Cu 2.95-3.02
Dy4 0.5918 0.3373 0.2545  1 Co 2.91, 7 Cu 2.95-3.02
Dy5 0.7578 0.0000 0.7578  2 Co 2.95, 6 Cu 2.98-3.02
Dy6 0.9172 0.6627 0.2545  1 Co 2.91, 7 Cu 2.95-3.02
Co1 0.0000 0.5000 0.5000  8 Dy 2.91-2.95
Cu1 0.1694 0.1694 0.0000  8 Dy 2.97-3.01
Cu2 0.3340 0.8340 0.5000  8 Dy 3.00-3.02
Cu3 0.5000 0.5000 0.0000  8 Dy 2.95-3.02
Cu4 0.6660 0.1660 0.5000  8 Dy 3.00-3.02
Cu5 0.8306 0.8306 0.0000  8 Dy 2.97-3.01

Computed properties:
Uncorrected energy, eV/atom: -4.837
DFT formation energy, eV/atom: -0.2370
Density of states at the Fermi level, states/eV per cell: 9.1

No. 3
Below is a relaxed structure of Zn2Cu6Au3, with properties calculated at the PBE level.

Lattice parameters (Å, degrees): 4.5080 4.5780 15.8365 89.36 86.34 75.68
With the nearest neighbours (Å) after each atom.
Positions (direct):
Zn1 0.1449 0.2270 0.4799  9 Cu 2.57-2.68, 2 Zn 2.58-2.76, 1 Au 2.76
Zn2 0.2316 0.1406 0.9787  9 Cu 2.55-2.73, 2 Zn 2.57-2.76, 1 Au 2.79
Zn3 0.7684 0.8594 0.0213  9 Cu 2.55-2.73, 2 Zn 2.57-2.76, 1 Au 2.79
Zn4 0.8551 0.7730 0.5201  9 Cu 2.57-2.68, 2 Zn 2.58-2.76, 1 Au 2.76
Cu1 0.0607 0.3976 0.6429  4 Cu 2.55-2.70, 2 Zn 2.64-2.68, 4 Au 2.64-2.82
Cu2 0.1647 0.6590 0.8997  5 Cu 2.49-2.73, 3 Zn 2.56-2.64, 3 Au 2.68-2.74
Cu3 0.3092 0.6028 0.0613  6 Cu 2.49-2.73, 4 Zn 2.55-2.73, 1 Au 2.63
Cu4 0.3194 0.8549 0.6005  5 Cu 2.51-2.77, 3 Zn 2.57-2.62, 3 Au 2.66-2.74
Cu5 0.3678 0.0928 0.1416  4 Cu 2.51-2.67, 2 Zn 2.59-2.68, 4 Au 2.65-2.77
Cu6 0.4080 0.6766 0.4395  6 Cu 2.51-2.77, 4 Zn 2.57-2.67, 1 Au 2.64
Cu7 0.5920 0.3234 0.5605  6 Cu 2.51-2.77, 4 Zn 2.57-2.67, 1 Au 2.64
Cu8 0.6322 0.9072 0.8584  4 Cu 2.51-2.67, 2 Zn 2.59-2.68, 4 Au 2.65-2.77
Cu9 0.6806 0.1451 0.3995  5 Cu 2.51-2.77, 3 Zn 2.57-2.62, 3 Au 2.66-2.74
Cu10 0.6908 0.3972 0.9387  6 Cu 2.49-2.73, 4 Zn 2.55-2.73, 1 Au 2.63
Cu11 0.8353 0.3410 0.1003  5 Cu 2.49-2.73, 3 Zn 2.56-2.64, 3 Au 2.68-2.74
Cu12 0.9393 0.6024 0.3571  4 Cu 2.55-2.70, 2 Zn 2.64-2.68, 4 Au 2.64-2.82
Au1 0.0789 0.1812 0.8103  6 Cu 2.63-2.82, 1 Zn 2.79, 2 Au 2.79-2.80
Au2 0.2224 0.0427 0.3130  6 Cu 2.64-2.77, 1 Zn 2.76, 3 Au 2.77-2.84
Au3 0.4630 0.5408 0.7470  5 Cu 2.68-3.00, 3 Au 2.77-2.84
Au4 0.5370 0.4592 0.2530  5 Cu 2.68-3.00, 3 Au 2.77-2.84
Au5 0.7776 0.9573 0.6870  6 Cu 2.64-2.77, 1 Zn 2.76, 3 Au 2.77-2.84
Au6 0.9211 0.8188 0.1897  6 Cu 2.63-2.82, 1 Zn 2.79, 2 Au 2.79-2.80

Computed properties:
Uncorrected energy, eV/atom: -3.377
DFT formation energy, eV/atom: -0.0170
Density of states at the Fermi level, states/eV per cell: 6.9

No. 4
Below is a relaxed structure of In2SnHg7Pb2, with properties calculated at the PBE level.

Lattice parameters (Å, degrees): 10.7633 10.7633 10.7633 149.20 44.13 149.18
With the nearest neighbours (Å) after each atom.
Positions (direct):
In1 0.1574 0.0000 0.1574  5 Hg 3.14-3.24, 4 Pb 3.40-3.41
In2 0.8426 0.0000 0.8426  5 Hg 3.14-3.24, 4 Pb 3.40-3.41
Sn1 0.4983 0.9983 0.5000  10 Hg 3.27-3.29
Hg1 0.0004 0.0004 0.0000  2 In 3.14, 8 Hg 3.28
Hg2 0.0798 0.4989 0.5810  5 Hg 3.23-3.31, 2 In 3.24, 2 Sn 3.28-3.29, 1 Pb 3.37
Hg3 0.3357 0.9996 0.3361  1 Sn 3.27, 4 Hg 3.30-3.31, 4 Pb 3.33-3.34, 1 In 3.57
Hg4 0.4194 0.5003 0.9191  5 Hg 3.23-3.30, 2 In 3.24, 2 Sn 3.28, 1 Pb 3.37
Hg5 0.5813 0.5003 0.0809  5 Hg 3.23-3.30, 2 In 3.24, 2 Sn 3.28, 1 Pb 3.37
Hg6 0.6635 0.9996 0.6639  1 Sn 3.27, 4 Hg 3.30-3.31, 4 Pb 3.33-3.34, 1 In 3.57
Hg7 0.9179 0.4989 0.4190  5 Hg 3.23-3.31, 2 In 3.24, 2 Sn 3.28-3.29, 1 Pb 3.37
Pb1 0.2499 0.4999 0.7500  6 Hg 3.33-3.37, 4 In 3.40-3.41
Pb2 0.7499 0.4999 0.2500  6 Hg 3.33-3.37, 4 In 3.40-3.41

Computed properties:
Uncorrected energy, eV/atom: -1.530
DFT formation energy, eV/atom: 0.0537
Density of states at the Fermi level, states/eV per cell: 5.2